No. 1
{"formula": "Pm2ErBi2O2", "functional": "PBE-GGA", "state": "relaxed", "spacegroup": "I4/mmm", "magnetic_moment_mub_per_atom": 0.000, "e_form_raw_kj_per_mol_atoms": -180.4, "cell": [[4.3625, 0.0000, 0.0000], [0.0000, 4.3625, 0.0000], [-2.1813, -2.1813, 8.4056]], "species": ["Pm", "Pm", "O", "O", "Bi", "Bi", "Er"], "fractional_positions": [[0.6093, 0.6093, 0.2187], [0.3907, 0.3907, 0.7813], [0.5000, 0.0000, 0.0000], [0.0000, 0.5000, 0.0000], [0.1899, 0.1899, 0.3798], [0.8101, 0.8101, 0.6202], [0.0000, 0.0000, 0.0000]]}

No. 2
{"formula": "PmErBiO2", "functional": "PBE-GGA", "state": "relaxed", "spacegroup": "I4mm", "magnetic_moment_mub_per_atom": 0.000, "e_form_raw_kj_per_mol_atoms": -255.2, "cell": [[3.9230, 0.0000, 0.0000], [0.0000, 3.9230, 0.0000], [-1.9615, -1.9615, 6.8601]], "species": ["Er", "O", "O", "Pm", "Bi"], "fractional_positions": [[0.1700, 0.1700, 0.3401], [0.2457, 0.7457, 0.4914], [0.7457, 0.2457, 0.4914], [0.8347, 0.8347, 0.6694], [0.5039, 0.5039, 0.0079]]}

No. 3
{"formula": "Er2PuBiO8", "functional": "PBE-GGA", "state": "relaxed", "spacegroup": "Cmmm", "magnetic_moment_mub_per_atom": 0.082, "e_form_raw_kj_per_mol_atoms": -252.6, "cell": [[5.1004, -0.0513, -0.0031], [-0.0231, 5.0996, -0.0056], [0.0041, 0.0077, 7.0030]], "species": ["O", "O", "O", "O", "O", "O", "O", "O", "Er", "Er", "Pu", "Bi"], "fractional_positions": [[0.1880, 0.8114, 0.2168], [0.3153, 0.3149, 0.5000], [0.8120, 0.1886, 0.2168], [0.2824, 0.2817, 0.0000], [0.8120, 0.1886, 0.7832], [0.1880, 0.8114, 0.7832], [0.7176, 0.7183, 0.0000], [0.6847, 0.6851, 0.5000], [0.5000, 0.5000, 0.7433], [0.5000, 0.5000, 0.2567], [0.0000, 0.0000, 0.0000], [0.0000, 0.0000, 0.5000]]}

No. 4
{"formula": "Rb2ErBiO6", "functional": "PBE-GGA", "state": "relaxed", "spacegroup": "Fm-3m", "magnetic_moment_mub_per_atom": 0.205, "e_form_raw_kj_per_mol_atoms": -148.9, "cell": [[-6.1171, -0.6849, 0.6925], [-2.7643, -5.2165, -1.8747], [-2.2151, -4.0041, 4.1748]], "species": ["O", "O", "O", "O", "O", "O", "Rb", "Rb", "Bi", "Er"], "fractional_positions": [[0.7560, 0.2440, 0.7560], [0.2440, 0.7560, 0.7560], [0.7560, 0.7560, 0.2440], [0.2440, 0.7560, 0.2440], [0.7560, 0.2440, 0.2440], [0.2440, 0.2440, 0.7560], [0.2500, 0.2500, 0.2500], [0.7500, 0.7500, 0.7500], [0.0000, 0.0000, 0.0000], [0.5000, 0.5000, 0.5000]]}

No. 5
{"formula": "Rb4ErBi3O12", "functional": "PBE-GGA", "state": "relaxed", "spacegroup": "Im-3m", "magnetic_moment_mub_per_atom": 0.094, "e_form_raw_kj_per_mol_atoms": -124.5, "cell": [[7.5204, 0.0000, 0.0000], [-2.5068, 7.0903, 0.0000], [-2.5068, -3.5451, 6.1404]], "species": ["O", "O", "O", "O", "O", "O", "O", "O", "O", "O", "O", "O", "Rb", "Rb", "Rb", "Rb", "Bi", "Bi", "Bi", "Er"], "fractional_positions": [[0.5000, 0.7500, 0.2500], [0.2584, 0.0000, 0.2584], [0.0000, 0.2584, 0.2584], [0.7500, 0.5000, 0.2500], [0.2584, 0.2584, 0.0000], [0.7500, 0.2500, 0.5000], [0.2500, 0.5000, 0.7500], [0.0000, 0.7416, 0.7416], [0.7416, 0.0000, 0.7416], [0.5000, 0.2500, 0.7500], [0.7416, 0.7416, 0.0000], [0.2500, 0.7500, 0.5000], [0.0000, 0.5000, 0.0000], [0.5000, 0.0000, 0.0000], [0.5000, 0.5000, 0.5000], [0.0000, 0.0000, 0.5000], [0.5000, 0.0000, 0.5000], [0.5000, 0.5000, 0.0000], [0.0000, 0.5000, 0.5000], [0.0000, 0.0000, 0.0000]]}

No. 6
{"formula": "Rb2ErBi2O6", "functional": "PBE-GGA", "state": "relaxed", "spacegroup": "C2/m", "magnetic_moment_mub_per_atom": 0.000, "e_form_raw_kj_per_mol_atoms": -168.5, "cell": [[-0.3352, 3.7148, -4.8154], [-2.6633, -5.4730, -0.2310], [-4.6641, 3.2479, 4.1407]], "species": ["Er", "O", "O", "O", "O", "O", "O", "Bi", "Bi", "Rb", "Rb"], "fractional_positions": [[0.0000, 0.0000, 0.5000], [0.7432, 0.7432, 0.6746], [0.3832, 0.0511, 0.6714], [0.9489, 0.6168, 0.3286], [0.6168, 0.9489, 0.3286], [0.0511, 0.3832, 0.6714], [0.2568, 0.2568, 0.3254], [0.3348, 0.6652, 0.5000], [0.6652, 0.3348, 0.5000], [0.8312, 0.1688, 0.0000], [0.1688, 0.8312, 0.0000]]}

No. 7
{"formula": "Rb2ErBiO4", "functional": "PBE-GGA", "state": "relaxed", "spacegroup": "P2/m", "magnetic_moment_mub_per_atom": 0.000, "e_form_raw_kj_per_mol_atoms": -192.8, "cell": [[3.5524, 0.0000, 0.0000], [0.0000, 6.1944, 0.1157], [0.0000, -2.1621, 6.5309]], "species": ["Er", "O", "O", "O", "O", "Bi", "Rb", "Rb"], "fractional_positions": [[0.5000, 0.5000, 0.0000], [0.0000, 0.7121, 0.1777], [0.5000, 0.2450, 0.1857], [0.5000, 0.7550, 0.8143], [0.0000, 0.2879, 0.8223], [0.0000, 0.0000, 0.0000], [0.5000, 0.0000, 0.5000], [0.0000, 0.5000, 0.5000]]}

No. 8
{"formula": "ErReBi2O8", "functional": "PBE-GGA", "state": "relaxed", "spacegroup": "P2/m", "magnetic_moment_mub_per_atom": 0.000, "e_form_raw_kj_per_mol_atoms": -174.2, "cell": [[-0.3538, 4.6331, -2.3849], [-2.8764, 1.8540, 3.9396], [5.5588, 2.0234, 3.1062]], "species": ["Er", "O", "O", "O", "O", "O", "O", "O", "O", "Re", "Bi", "Bi"], "fractional_positions": [[0.0000, 0.0000, 0.5000], [0.7464, 0.7533, 0.9999], [0.8259, 0.1791, 0.7840], [0.6950, 0.6983, 0.5001], [0.3050, 0.3017, 0.4999], [0.2536, 0.2467, 0.0001], [0.1743, 0.8210, 0.7840], [0.8257, 0.1790, 0.2160], [0.1741, 0.8209, 0.2160], [0.0000, 0.0000, 0.0000], [0.5000, 0.5000, 0.2488], [0.5000, 0.5000, 0.7512]]}